# HgSb2 (PBE, optimized geometry)
data_HgSb2
_chemical_formula_sum 'Hg2 Sb4'
_cell_length_a 5.401
_cell_length_b 5.401
_cell_length_c 6.355
_cell_angle_alpha 90.00
_cell_angle_beta 90.00
_cell_angle_gamma 120.00
_space_group_name_H-M_alt 'P 1'
_space_group_IT_number 1
loop_
_space_group_symop_operation_xyz
'x,y,z'
loop_
_atom_site_label
_atom_site_fract_x
_atom_site_fract_y
_atom_site_fract_z
Hg1 0.333 0.667 0.250
Hg2 0.667 0.333 0.750
Sb1 0.000 0.000 0.000
Sb2 0.000 0.000 0.500
Sb3 0.333 0.667 0.750
Sb4 0.667 0.333 0.250
# **Formation energy from raw total energies**: 273 meV/atom
# **Density of states at the Fermi level**: 0.957 states/eV per atom
# **E above lowest polymorph**: 0.71 eV per formula unit
# **VASP energy**: -2.58 eV per atom
# **M_tot**: 0.00 μB per formula unit
# **Symmetry**: P6_3/mmc (194)